<a>
# Mn2TcP2

Mn2TcP2 after structural relaxation (PBE-GGA, Alexandria via LeMat-Bulk).

abc: 5.321 5.298 4.952
angles: 90.00 116.39 90.00
Space group C2/m (No. 12)
Unique sites:
Mn1 0.000 0.242 0.000 [4 per cell]
Tc1 0.000 0.500 0.500 [2 per cell]
P1 0.152 0.000 0.736 [4 per cell]


<b>
# Mn2TcP2

Mn2TcP2 after structural relaxation (PBE-GGA, Alexandria via LeMat-Bulk).

abc: 6.553 6.553 2.736
angles: 90.00 90.00 90.00
Space group P4/mbm (No. 127)
Unique sites:
Mn1 0.141 0.359 0.000 [4 per cell]
Tc1 0.000 0.000 0.500 [2 per cell]
P1 0.157 0.657 0.500 [4 per cell]


Q: Which of them is the most stable? A: <b>.


<a>
# Mn3TcP

Mn3TcP after structural relaxation (PBE-GGA, Alexandria via LeMat-Bulk).

abc: 4.064 4.064 4.064
angles: 90.00 90.00 90.00
Space group Pm-3m (No. 221)
Unique sites:
Mn1 0.000 0.000 0.500 [3 per cell]
Tc1 0.500 0.500 0.500 [1 per cell]
P1 0.000 0.000 0.000 [1 per cell]


<b>
# Mn3TcP

Mn3TcP after structural relaxation (PBE-GGA, Alexandria via LeMat-Bulk).

abc: 4.578 4.578 4.578
angles: 90.00 90.00 90.00
Space group Pm-3m (No. 221)
Unique sites:
Mn1 0.000 0.000 0.500 [3 per cell]
Tc1 0.000 0.000 0.000 [1 per cell]
P1 0.500 0.500 0.500 [1 per cell]


Q: Which of them is the most stable? A: <a>.


<a>
# MnTeP

MnTeP after structural relaxation (PBE-GGA, Alexandria via LeMat-Bulk).

abc: 3.101 5.346 6.109
angles: 90.00 90.00 90.00
Space group Pmn2_1 (No. 31)
Unique sites:
Mn1 0.000 0.218 0.000 [2 per cell]
Te1 0.000 0.424 0.376 [2 per cell]
P1 0.000 0.047 0.659 [2 per cell]


<b>
# MnTeP

MnTeP after structural relaxation (PBE-GGA, Alexandria via LeMat-Bulk).

abc: 6.254 6.254 6.254
angles: 90.00 90.00 90.00
Space group F-43m (No. 216)
Unique sites:
Mn1 0.000 0.000 0.000 [4 per cell]
Te1 0.250 0.250 0.750 [4 per cell]
P1 0.250 0.250 0.250 [4 per cell]


Q: Which of them is the most stable? A: <a>.


<a>
# MnTeP

MnTeP after structural relaxation (PBE-GGA, Alexandria via LeMat-Bulk).

abc: 6.410 6.410 6.410
angles: 90.00 90.00 90.00
Space group F-43m (No. 216)
Unique sites:
Mn1 0.000 0.000 0.000 [4 per cell]
Te1 0.000 0.000 0.500 [4 per cell]
P1 0.250 0.250 0.250 [4 per cell]


<b>
# MnTeP

MnTeP after structural relaxation (PBE-GGA, Alexandria via LeMat-Bulk).

abc: 3.5192 3.5192 5.5352
angles: 90.00 90.00 120.00
Space group P3m1 (No. 156)
Unique sites:
Mn1 0.0000 0.0000 0.0000 [1 per cell]
Te1 0.6667 0.3333 0.6845 [1 per cell]
P1 0.3333 0.6667 0.2015 [1 per cell]


Q: Which of them is the most stable? A: <b>.


<a>
# Mn2TeP

Mn2TeP after structural relaxation (PBE-GGA, Alexandria via LeMat-Bulk).

abc: 6.323 6.323 6.323
angles: 90.00 90.00 90.00
Space group F-43m (No. 216)
Unique sites:
Mn1 0.000 0.000 0.000 [4 per cell]
Mn2 0.250 0.250 0.250 [4 per cell]
Te1 0.250 0.250 0.750 [4 per cell]
P1 0.000 0.000 0.500 [4 per cell]


<b>
# Mn2TeP

Mn2TeP after structural relaxation (PBE-GGA, Alexandria via LeMat-Bulk).

abc: 3.747 3.743 6.075
angles: 90.00 90.61 90.00
Space group Pm (No. 6)
Unique sites:
Mn1 0.000 0.000 0.000 [1 per cell]
Mn2 0.500 0.500 0.000 [1 per cell]
Te1 0.005 0.500 0.292 [1 per cell]
P1 0.496 0.000 0.795 [1 per cell]


Q: Which of them is the most stable? A: <b>.


<a>
# TiMnP3

TiMnP3 after structural relaxation (PBE-GGA, Alexandria via LeMat-Bulk).

abc: 4.625 4.625 4.625
angles: 90.00 90.00 90.00
Space group Pm-3m (No. 221)
Unique sites:
Ti1 0.000 0.000 0.000 [1 per cell]
Mn1 0.500 0.500 0.500 [1 per cell]
P1 0.000 0.000 0.500 [3 per cell]


<b>
# TiMnP3

TiMnP3 after structural relaxation (PBE-GGA, Alexandria via LeMat-Bulk).

abc: 4.410 4.410 4.410
angles: 90.00 90.00 90.00
Space group Pm-3m (No. 221)
Unique sites:
Ti1 0.000 0.000 0.000 [1 per cell]
Mn1 0.500 0.500 0.500 [1 per cell]
P1 0.000 0.500 0.500 [3 per cell]


Q: Which of them is the most stable? A: <b>.


<a>
# Ti3MnP

Ti3MnP after structural relaxation (PBE-GGA, Alexandria via LeMat-Bulk).

abc: 4.532 4.532 4.532
angles: 90.00 90.00 90.00
Space group Pm-3m (No. 221)
Unique sites:
Ti1 0.000 0.000 0.500 [3 per cell]
Mn1 0.500 0.500 0.500 [1 per cell]
P1 0.000 0.000 0.000 [1 per cell]


<b>
# Ti3MnP

Ti3MnP after structural relaxation (PBE-GGA, Alexandria via LeMat-Bulk).

abc: 4.411 4.411 4.411
angles: 90.00 90.00 90.00
Space group Pm-3m (No. 221)
Unique sites:
Ti1 0.000 0.000 0.500 [3 per cell]
Mn1 0.000 0.000 0.000 [1 per cell]
P1 0.500 0.500 0.500 [1 per cell]


Q: Which of them is the most stable? A: <a>.


<a>
# MnTlP2

MnTlP2 after structural relaxation (PBE-GGA, Alexandria via LeMat-Bulk).

abc: 3.179 5.470 8.952
angles: 90.00 90.00 90.00
Space group Imm2 (No. 44)
Unique sites:
Mn1 0.000 0.000 0.000 [2 per cell]
Tl1 0.000 0.500 0.789 [2 per cell]
P1 0.000 0.000 0.593 [2 per cell]
P2 0.000 0.500 0.271 [2 per cell]


<b>
# MnTlP2

MnTlP2 after structural relaxation (PBE-GGA, Alexandria via LeMat-Bulk).

abc: 3.111 3.111 7.334
angles: 90.00 90.00 90.00
Space group P4/mmm (No. 123)
Unique sites:
Mn1 0.000 0.000 0.000 [1 per cell]
Tl1 0.000 0.000 0.500 [1 per cell]
P1 0.500 0.500 0.157 [2 per cell]


<c>
# MnTlP2

MnTlP2 after structural relaxation (PBE-GGA, Alexandria via LeMat-Bulk).

abc: 6.389 6.389 6.389
angles: 90.00 90.00 90.00
Space group Fm-3m (No. 225)
Unique sites:
Mn1 0.000 0.000 0.000 [4 per cell]
Tl1 0.000 0.000 0.500 [4 per cell]
P1 0.250 0.250 0.250 [8 per cell]


<d>
# MnTlP2

MnTlP2 after structural relaxation (PBE-GGA, Alexandria via LeMat-Bulk).

abc: 5.496 7.439 3.662
angles: 90.00 90.00 90.00
Space group Cmmm (No. 65)
Unique sites:
Mn1 0.000 0.000 0.000 [2 per cell]
Tl1 0.000 0.500 0.000 [2 per cell]
P1 0.250 0.250 0.500 [4 per cell]


Q: Which of them is the most stable? A: <b>.


<a>
# MnTlP2

MnTlP2 after structural relaxation (PBE-GGA, Alexandria via LeMat-Bulk).

abc: 4.080 6.485 7.388
angles: 90.00 90.00 90.00
Space group Immm (No. 71)
Unique sites:
Mn1 0.000 0.000 0.000 [2 per cell]
Tl1 0.000 0.000 0.500 [2 per cell]
P1 0.000 0.500 0.346 [4 per cell]


<b>
# MnTlP2

MnTlP2 after structural relaxation (PBE-GGA, Alexandria via LeMat-Bulk).

abc: 4.597 4.597 3.484
angles: 90.00 90.00 90.00
Space group P4/mmm (No. 123)
Unique sites:
Mn1 0.000 0.000 0.000 [1 per cell]
Tl1 0.500 0.500 0.000 [1 per cell]
P1 0.000 0.500 0.500 [2 per cell]


<c>
# MnTlP2

MnTlP2 after structural relaxation (PBE-GGA, Alexandria via LeMat-Bulk).

abc: 3.3803 3.3803 21.9431
angles: 90.00 90.00 120.00
Space group R3m (No. 160, hexagonal axes)
Unique sites:
Mn1 0.0000 0.0000 0.0000 [3 per cell]
Tl1 0.0000 0.0000 0.2335 [3 per cell]
P1 0.0000 0.0000 0.4623 [3 per cell]
P2 0.0000 0.0000 0.7360 [3 per cell]


Q: Which of them is the most stable? A: <a>.


<a>
# MnTlP2

MnTlP2 after structural relaxation (PBE-GGA, Alexandria via LeMat-Bulk).

abc: 7.832 3.007 6.544
angles: 90.00 103.52 90.00
Space group Cm (No. 8)
Unique sites:
Mn1 0.000 0.000 0.000 [2 per cell]
Tl1 0.120 0.500 0.412 [2 per cell]
P1 0.291 0.000 0.023 [2 per cell]
P2 0.440 0.000 0.744 [2 per cell]


<b>
# MnTlP2

MnTlP2 after structural relaxation (PBE-GGA, Alexandria via LeMat-Bulk).

abc: 6.663 6.663 6.663
angles: 90.00 90.00 90.00
Space group F-43m (No. 216)
Unique sites:
Mn1 0.000 0.000 0.000 [4 per cell]
Tl1 0.250 0.250 0.250 [4 per cell]
P1 0.000 0.000 0.500 [4 per cell]
P2 0.250 0.250 0.750 [4 per cell]


Q: Which of them is the most stable? A: <a>.


<a>
# Mn2TlP2

Mn2TlP2 after structural relaxation (PBE-GGA, Alexandria via LeMat-Bulk).

abc: 4.062 4.062 8.950
angles: 90.00 90.00 90.00
Space group I4/mmm (No. 139)
Unique sites:
Mn1 0.000 0.500 0.250 [4 per cell]
Tl1 0.000 0.000 0.000 [2 per cell]
P1 0.000 0.000 0.366 [4 per cell]


<b>
# Mn2TlP2

Mn2TlP2 after structural relaxation (PBE-GGA, Alexandria via LeMat-Bulk).

abc: 7.574 7.574 3.025
angles: 90.00 90.00 90.00
Space group P4/mbm (No. 127)
Unique sites:
Mn1 0.119 0.381 0.000 [4 per cell]
Tl1 0.000 0.000 0.500 [2 per cell]
P1 0.133 0.633 0.500 [4 per cell]


Q: Which of them is the most stable? A: <a>.


<a>
# Mn3TlP

Mn3TlP after structural relaxation (PBE-GGA, Alexandria via LeMat-Bulk).

abc: 5.064 5.064 5.064
angles: 90.00 90.00 90.00
Space group Pm-3m (No. 221)
Unique sites:
Mn1 0.000 0.000 0.500 [3 per cell]
Tl1 0.000 0.000 0.000 [1 per cell]
P1 0.500 0.500 0.500 [1 per cell]


<b>
# Mn3TlP

Mn3TlP after structural relaxation (PBE-GGA, Alexandria via LeMat-Bulk).

abc: 4.544 4.544 4.544
angles: 90.00 90.00 90.00
Space group Pm-3m (No. 221)
Unique sites:
Mn1 0.000 0.000 0.500 [3 per cell]
Tl1 0.500 0.500 0.500 [1 per cell]
P1 0.000 0.000 0.000 [1 per cell]


Q: Which of them is the most stable? A: <b>.